The following is a DFT calculation (PBE-GGA) of an optimized crystal structure of Dy3CuSe2.

Results
Raw formation energy ... -1.23 eV/atom
Theoretical density ... 8229 kg/m³
Symmetry ... C2/m

a b c (Å): 6.971 6.971 7.206
angles (deg): 99.30 99.30 120.23
Fractional positions:
Dy 0.415 0.087 0.243
Cu 0.666 0.334 0.000
Dy 0.913 0.585 0.757
Dy 0.252 0.246 0.757
Se 0.172 0.828 0.500
Dy 0.754 0.748 0.243
Se 0.333 0.667 0.000
Dy 0.075 0.408 0.242
Cu 0.001 0.999 0.000
Se 0.495 0.505 0.500
Dy 0.592 0.925 0.758
Se 0.833 0.167 0.500